Record 1
VASP calculation (PBE) on an optimized crystal structure of ZrZnCl2.

abc: 6.1353 8.9167 3.2657
angles: 90.00 117.60 90.00
Last column: nearest neighbours and their distance in Å.
Space group C2/m (No. 12)
Symmetry-distinct sites (fractional):
Zr 0.0000 0.0000 0.0000 [2 per cell]  4 Cl 2.71
Zn 0.0000 0.5000 0.0000 [2 per cell]  4 Cl 2.71
Cl 0.2500 0.2500 0.0000 [4 per cell]  2 Zr 2.71, 2 Zn 2.71

Results
ΔE to the lowest computed polymorph (meV/atom): 446
Formation energy without anion corrections (eV per formula unit): -2.05
Total magnetization (μB per formula unit): 0.000

Record 2
VASP calculation (PBE) on an optimized crystal structure of ZrZn2Cl.

abc: 3.1055 3.1055 8.9542
angles: 90.00 90.00 90.00
Last column: nearest neighbours and their distance in Å.
Space group P4mm (No. 99)
Symmetry-distinct sites (fractional):
Zr 0.0000 0.0000 0.0000 [1 per cell]  4 Cl 2.77, 4 Zn 2.94
Zn 0.0000 0.0000 0.6270 [1 per cell]  4 Zn 2.60
Zn 0.5000 0.5000 0.7816 [1 per cell]  4 Zn 2.60
Cl 0.5000 0.5000 0.1881 [1 per cell]  4 Zr 2.77

Results
ΔE to the lowest computed polymorph (meV/atom): 4
Formation energy without anion corrections (eV per formula unit): -1.76
Total magnetization (μB per formula unit): 0.000

Record 3
VASP calculation (PBE) on an optimized crystal structure of ZrZnCl2.

abc: 3.2431 4.3867 5.4647
angles: 90.00 90.00 90.00
Last column: nearest neighbours and their distance in Å.
Space group Pmmm (No. 47)
Symmetry-distinct sites (fractional):
Zr 0.0000 0.0000 0.0000 [1 per cell]  4 Cl 2.73
Zn 0.5000 0.0000 0.5000 [1 per cell]  4 Cl 2.73
Cl 0.0000 0.5000 0.5000 [1 per cell]  4 Zn 2.73
Cl 0.5000 0.5000 0.0000 [1 per cell]  4 Zr 2.73

Results
ΔE to the lowest computed polymorph (meV/atom): 511
Formation energy without anion corrections (eV per formula unit): -1.79
Total magnetization (μB per formula unit): 0.000

Record 4
VASP calculation (PBE) on an optimized crystal structure of ZrZnCl2.

abc: 10.7824 3.2494 7.3224
angles: 90.00 112.85 90.00
Last column: nearest neighbours and their distance in Å.
Space group Cm (No. 8)
Symmetry-distinct sites (fractional):
Zr 0.0000 0.0000 0.0000 [2 per cell]  4 Cl 2.57
Zn 0.2720 0.0000 0.0001 [2 per cell]  3 Zr 2.93-2.95, 2 Zn 3.25
Cl 0.1169 0.5000 0.2879 [2 per cell]  2 Zr 2.57
Cl 0.4648 0.0000 0.7121 [2 per cell]  2 Zr 2.57

Results
ΔE to the lowest computed polymorph (meV/atom): 84
Formation energy without anion corrections (eV per formula unit): -3.50
Total magnetization (μB per formula unit): 0.000

Record 5
VASP calculation (PBE) on an optimized crystal structure of ZrZn2Cl.

abc: 6.5915 6.5915 6.5915
angles: 90.00 90.00 90.00
Last column: nearest neighbours and their distance in Å.
Space group F-43m (No. 216)
Symmetry-distinct sites (fractional):
Zr 0.0000 0.0000 0.0000 [4 per cell]  4 Cl 2.85, 4 Zn 2.85
Zn 0.0000 0.0000 0.5000 [4 per cell]  4 Cl 2.85, 4 Zn 2.85
Zn 0.2500 0.2500 0.7500 [4 per cell]  4 Zr 2.85, 4 Zn 2.85
Cl 0.2500 0.2500 0.2500 [4 per cell]  4 Zr 2.85, 4 Zn 2.85

Results
ΔE to the lowest computed polymorph (meV/atom): 421
Formation energy without anion corrections (eV per formula unit): -0.09
Total magnetization (μB per formula unit): 0.000

Record 6
VASP calculation (PBE) on an optimized crystal structure of ZrZn2Cl.

abc: 4.1807 4.1807 8.3228
angles: 90.00 90.00 90.00
Last column: nearest neighbours and their distance in Å.
Space group I-4m2 (No. 119)
Symmetry-distinct sites (fractional):
Zr 0.0000 0.0000 0.0000 [2 per cell]  4 Cl 2.95, 8 Zn 2.95-2.96
Zn 0.0000 0.0000 0.5000 [2 per cell]  4 Cl 2.95, 4 Zn 2.95, 4 Zr 2.96
Zn 0.0000 0.5000 0.2500 [2 per cell]  4 Zr 2.95, 4 Zn 2.95, 4 Cl 2.96
Cl 0.0000 0.5000 0.7500 [2 per cell]  4 Zr 2.95, 8 Zn 2.95-2.96

Results
ΔE to the lowest computed polymorph (meV/atom): 345
Formation energy without anion corrections (eV per formula unit): -0.39
Total magnetization (μB per formula unit): 0.000

Record 7
VASP calculation (PBE) on an optimized crystal structure of ZrZn2Cl.

abc: 3.4115 5.3695 8.5368
angles: 90.00 90.00 90.00
Last column: nearest neighbours and their distance in Å.
Space group Cmmm (No. 65)
Symmetry-distinct sites (fractional):
Zr 0.0000 0.0000 0.0000 [2 per cell]  4 Zn 2.83
Zn 0.0000 0.5000 0.2639 [4 per cell]  2 Cl 2.64, 2 Zr 2.83
Cl 0.0000 0.0000 0.5000 [2 per cell]  4 Zn 2.64

Results
ΔE to the lowest computed polymorph (meV/atom): 253
Formation energy without anion corrections (eV per formula unit): -0.76
Total magnetization (μB per formula unit): 0.000

Record 8
VASP calculation (PBE) on an optimized crystal structure of ZrZn4Cl.

abc: 7.5627 7.5627 7.5627
angles: 90.00 90.00 90.00
Last column: nearest neighbours and their distance in Å.
Space group F-43m (No. 216)
Symmetry-distinct sites (fractional):
Zr 0.0000 0.0000 0.0000 [4 per cell]  12 Zn 3.13, 4 Cl 3.27
Zn 0.1269 0.1269 0.3731 [16 per cell]  6 Zn 2.63-2.72
Cl 0.2500 0.2500 0.7500 [4 per cell]  12 Zn 3.14, 4 Zr 3.27

Results
Formation energy without anion corrections (eV per formula unit): 0.41
Total magnetization (μB per formula unit): 1.815